Compound: Zr2GaCu
Source: the Alexandria database
Functional: PBE-GGA
Structure: relaxed

a b c (Å): 3.0986 3.0986 7.5671
angles (deg): 90.00 90.00 90.00
Fractional positions:
Zr  0.0000  0.0000  0.2410
Zr  0.0000  0.0000  0.7590
Ga  0.5000  0.5000  0.5000
Cu  0.5000  0.5000  0.0000

energy of formation = -0.3367 eV/atom
total DFT energy (no corrections) = -25.57 eV for the cell shown
space-group type = P4/mmm (123)
total magnetization = 0.00 Bohr magnetons per cell

=====

Compound: Cu2CS
Source: the Alexandria database
Functional: PBE-GGA
Structure: relaxed

a b c (Å): 6.0014 6.0014 6.0014
angles (deg): 133.29 133.29 68.20
Fractional positions:
Cu  0.0574  0.6250  0.9324
Cu  0.3750  0.3074  0.4324
Cu  0.6926  0.1250  0.0676
Cu  0.8750  0.9426  0.5676
C  0.0000  0.0000  0.0000
C  0.7500  0.2500  0.5000
S  0.2500  0.7500  0.5000
S  0.5000  0.5000  0.0000

uncorrected formation energy = 784 meV per atom
energy above the lowest structure with this stoichiometry = 0 meV per atom
total DFT energy (no corrections) = -36.81 eV for the cell shown
space-group type = I-42d (122)
total magnetization = 0.00 Bohr magnetons per cell